First-principles (SCAN) data for LiBeAs at its PBEsol-relaxed geometry, as listed in the Alexandria database.

Lattice parameters (Å, degrees): 5.4231 5.4231 5.4231 90.00 90.00 90.00
Space group F-43m (No. 216)
Symmetry-distinct sites (fractional):
1 Li 0.0000 0.0000 0.0000 (multiplicity 4)
2 Be 0.2500 0.2500 0.7500 (multiplicity 4)
3 As 0.0000 0.0000 0.5000 (multiplicity 4)

Output
Energy of formation from the pure elements in meV per atom: -509.5